NpSnIr: optimized geometry, PBE-GGA.

## Properties
The calculation puts the total energy at -0.6428 Ry per atom.

POSCAR file:
```
NpSnIr
1.0
6.8720 0.0000 0.0000
-3.4360 5.9513 0.0000
0.0000 0.0000 4.6945
Np Ir Sn
3 3 3
direct
0.5137 0.0000 0.5000
0.0000 0.5137 0.5000
0.4863 0.4863 0.5000
0.0000 0.2325 0.0000
0.2325 0.0000 0.0000
0.7675 0.7675 0.0000
0.0000 0.0000 0.5000
0.3333 0.6667 0.0000
0.6667 0.3333 0.0000
```

***

Nd3In3AgPdAu: optimized geometry, PBE-GGA.

## Properties
The calculation puts the total energy at -0.3249 Ry per atom.

POSCAR file:
```
Nd3In3AgPdAu
1.0
7.8718 0.0000 0.0000
-3.9359 6.8172 0.0000
0.0000 0.0000 4.0736
In Nd Ag Au Pd
3 3 1 1 1
direct
0.7407 0.7457 0.5000
0.2543 0.9950 0.5000
0.0050 0.2593 0.5000
0.0072 0.5895 0.0000
0.4105 0.4177 0.0000
0.5823 0.9928 0.0000
0.0000 0.0000 0.0000
0.6667 0.3333 0.5000
0.3333 0.6667 0.5000
```

***

Li8HoO6: optimized geometry, PBE-GGA.

## Properties
The calculation puts the total energy at -0.3908 Ry per atom.

POSCAR file:
```
Li8HoO6
1.0
-4.4409 -1.0760 4.1642
-0.5122 -4.9689 3.6424
0.6665 -0.1509 6.1443
Li O Ho
8 6 1
direct
0.1060 0.7727 0.4890
0.8940 0.2273 0.5110
0.7727 0.4890 0.1060
0.2273 0.5110 0.8940
0.3459 0.3459 0.3459
0.4890 0.1060 0.7727
0.5110 0.8940 0.2273
0.6541 0.6541 0.6541
0.0958 0.4014 0.7565
0.9042 0.5986 0.2435
0.5986 0.2435 0.9042
0.2435 0.9042 0.5986
0.7565 0.0958 0.4014
0.4014 0.7565 0.0958
0.0000 0.0000 0.0000
```

***

TaZnGa2: optimized geometry, PBE-GGA.

## Properties
The calculation puts the total energy at -0.3224 Ry per atom.

POSCAR file:
```
TaZnGa2
1.0
0.0000 3.2247 3.2247
3.2247 0.0000 3.2247
3.2247 3.2247 0.0000
Ga Zn Ta
2 1 1
direct
0.7500 0.7500 0.7500
0.0000 0.0000 0.0000
0.2500 0.2500 0.2500
0.5000 0.5000 0.5000
```

***

LuInNO: optimized geometry, PBE-GGA.

## Properties
Its relative energy among the computed polymorphs is 163 meV/atom.

POSCAR file:
```
LuInNO
1.0
-4.2421 -5.2075 0.2024
4.6834 -3.9709 -4.0053
2.3354 -1.7296 4.4455
N In O Lu
4 4 4 4
direct
0.0922 0.1151 0.5895
0.4078 0.1151 0.0895
0.5922 0.8849 0.5895
0.9078 0.8849 0.0895
0.6110 0.3481 0.0023
0.3890 0.6519 0.5023
0.8890 0.3481 0.5023
0.1110 0.6519 0.0023
0.9837 0.3953 0.1060
0.4837 0.6047 0.1060
0.0163 0.6047 0.6060
0.5163 0.3953 0.6060
0.0894 0.1294 0.0046
0.5894 0.8706 0.0046
0.4106 0.1294 0.5046
0.9106 0.8706 0.5046
```

***

PrHoAsI2: optimized geometry, PBE-GGA.

## Properties
The calculation puts the total energy at -0.3599 Ry per atom.

POSCAR file:
```
PrHoAsI2
1.0
-0.1317 -1.9913 3.7482
-2.0331 -1.6399 -3.3480
9.1016 -5.7263 -2.7223
Pr I Ho As
1 2 1 1
direct
0.6667 0.3333 0.1423
0.3333 0.6667 0.3341
0.6667 0.3333 0.6782
0.3333 0.6667 0.8567
0.0000 0.0000 0.9887
```